No. 1
# La2BeSe

A relaxed structure of La2BeSe (PBE, the Alexandria database).

```
La2BeSe
1.0
3.7230 -0.0314 0.0000
-1.6675 3.3289 0.0000
0.0000 0.0000 8.6134
Be Se La
1 1 2
Cartesian
1.0277 1.6488 5.9733
0.0000 0.0000 4.8942
0.0000 0.0000 8.1385
1.0277 1.6488 2.5276
```

Properties
relative energy among the computed polymorphs = 475.6 meV/atom

=====

No. 2
# La2BeSe

A relaxed structure of La2BeSe (PBE, the Alexandria database).

```
La2BeSe
1.0
-2.6972 -2.8343 3.5129
4.5961 -2.4517 0.7167
0.8546 2.3577 2.5516
Be Se La
1 1 2
Cartesian
2.7254 -0.0470 1.6341
-0.9213 -0.2383 3.0322
0.0000 0.0000 0.0000
0.9495 -2.6430 2.1148
```

Properties
relative energy among the computed polymorphs = 117.3 meV/atom

=====

No. 3
# La2BeSe

A relaxed structure of La2BeSe (PBE, the Alexandria database).

```
La2BeSe
1.0
-1.6494 -5.6928 1.8207
1.0766 -1.9665 5.7808
-2.4276 4.8934 -2.9335
Be Se La
1 1 2
Cartesian
-2.1817 -2.3145 1.3440
-0.2864 -3.8296 3.8008
0.0000 0.0000 0.0000
-0.8187 -0.4514 3.3240
```

Properties
relative energy among the computed polymorphs = 296.3 meV/atom

=====

No. 4
# LaBeSe

A relaxed structure of LaBeSe (PBE, the Alexandria database).

```
LaBeSe
1.0
-2.6643 3.8911 3.3173
-4.4654 -0.6270 3.5932
5.1016 -2.1334 -1.6330
Be Se La
1 1 1
Cartesian
-0.2694 0.1234 0.2612
-4.4652 2.0442 4.3279
-2.3951 1.0965 2.3215
```

Properties
relative energy among the computed polymorphs = 245.1 meV/atom

=====

No. 5
# La2BeSe

A relaxed structure of La2BeSe (PBE, the Alexandria database).

```
La2BeSe
1.0
-2.5803 1.8390 -1.9524
0.5087 -2.3245 -2.8618
-5.0837 -4.3452 2.6258
Be Se La
1 1 2
Cartesian
-4.8486 -3.5016 -0.4378
-2.3067 -1.3291 -1.7507
-5.0539 -4.3198 2.6104
-2.5716 -2.1980 1.3282
```

Properties
relative energy among the computed polymorphs = 89.7 meV/atom

=====

No. 6
# La2BeSi

A relaxed structure of La2BeSi (PBE, the Alexandria database).

```
La2BeSi
1.0
-5.5339 2.1534 -1.0158
-5.5570 -1.6410 -1.6491
-2.8362 -0.5874 3.6227
Be Si La
1 1 2
Cartesian
-2.9320 -0.0919 0.6575
-7.4972 0.0336 0.0721
-10.9565 0.4944 -2.5624
-10.5957 -0.0364 0.6047
```

Properties
relative energy among the computed polymorphs = 33.4 meV/atom

=====

No. 7
# LaBeSi2

A relaxed structure of LaBeSi2 (PBE, the Alexandria database).

```
LaBeSi2
1.0
4.7433 0.0000 0.0000
0.0000 4.7433 0.0000
2.3716 2.3716 7.5006
Be Si La
2 4 2
Cartesian
2.3716 2.3716 0.0000
2.3716 4.7433 3.7503
2.0991 1.1858 1.8752
2.6442 3.5574 1.8752
3.5574 5.0158 5.6255
5.9291 4.4707 5.6255
0.0000 0.0000 0.0000
4.7433 2.3716 3.7503
```

Properties
E_tot = -40.8 eV per cell

=====

No. 8
# La2BeSi

A relaxed structure of La2BeSi (PBE, the Alexandria database).

```
La2BeSi
1.0
4.3561 0.0000 0.0000
0.0000 4.3561 0.0000
0.0000 0.0000 6.1488
Be Si La
1 1 2
Cartesian
2.1780 2.1780 5.3839
0.0000 0.0000 2.3032
0.0000 0.0000 5.3776
2.1780 2.1780 2.3073
```

Properties
relative energy among the computed polymorphs = 485.8 meV/atom

=====

No. 9
# LaBeSi4

A relaxed structure of LaBeSi4 (PBE, the Alexandria database).

```
LaBeSi4
1.0
1.2391 -0.3729 5.1103
-1.1208 3.9713 3.2805
-3.8090 -0.5519 3.6023
La Be Si
1 1 4
Cartesian
0.0000 0.0000 0.0000
-0.9226 0.7616 2.9983
-0.4364 2.1645 5.7017
-1.7486 -0.0435 5.8588
-2.2957 1.8951 7.4601
-2.9006 2.0771 4.9656
```

Properties
E_tot = -29.5 eV per cell

=====

No. 10
# La2BeSi

A relaxed structure of La2BeSi (PBE, the Alexandria database).

```
La2BeSi
1.0
3.3043 0.0000 0.0000
0.0000 3.3043 0.0000
0.0000 0.0000 8.7097
Be Si La
1 1 2
Cartesian
1.6522 1.6522 5.9204
0.0000 0.0000 4.9768
0.0000 0.0000 8.0736
1.6522 1.6522 2.8034
```

Properties
relative energy among the computed polymorphs = 446.0 meV/atom

=====

No. 11
# La2BeSi

A relaxed structure of La2BeSi (PBE, the Alexandria database).

```
La2BeSi
1.0
0.0000 3.6503 3.6503
3.6503 0.0000 3.6503
3.6503 3.6503 0.0000
Be Si La
1 1 2
Cartesian
0.0000 0.0000 0.0000
3.6503 3.6503 3.6503
1.8251 1.8251 1.8251
5.4754 5.4754 5.4754
```

Properties
relative energy among the computed polymorphs = 207.7 meV/atom

=====

No. 12
# LaBeSi2

A relaxed structure of LaBeSi2 (PBE, the Alexandria database).

```
LaBeSi2
1.0
-3.7802 -2.5075 -2.6925
-3.7608 -1.8510 3.2025
2.2789 4.7273 -0.5339
Be Si La
1 2 1
Cartesian
-3.7705 -2.1792 0.2550
0.0000 0.0000 0.0000
-2.6262 0.3486 1.4618
-2.6359 0.0203 -1.4857
```

Properties
E_tot = -18.9 eV per cell

=====

No. 13
# LaBe3Si

A relaxed structure of LaBe3Si (PBE, the Alexandria database).

```
LaBe3Si
1.0
-0.6974 -4.7552 -1.1575
3.2110 0.4378 -3.7331
3.6934 -1.2785 3.0269
Be Si La
3 1 1
Cartesian
1.6055 0.2189 -1.8665
1.8467 -0.6393 1.5134
-0.3487 -2.3776 -0.5788
3.1035 -2.7980 -0.9319
0.0000 0.0000 0.0000
```

Properties
relative energy among the computed polymorphs = 1809.8 meV/atom

=====

No. 14
# LaBeSi

A relaxed structure of LaBeSi (PBE, the Alexandria database).

```
LaBeSi
1.0
4.7857 0.0000 0.0000
2.3929 4.1446 0.0000
2.3929 1.3815 3.9075
Be Si La
1 1 1
Cartesian
4.7857 2.7631 1.9538
0.0000 0.0000 0.0000
7.1786 4.1446 2.9307
```

Properties
E_tot = -12.4 eV per cell

=====

No. 15
# LaBe2Si

A relaxed structure of LaBe2Si (PBE, the Alexandria database).

```
LaBe2Si
1.0
-3.8988 2.4614 0.3218
-2.4971 -3.8386 -0.6260
3.1513 0.1933 3.3756
Be Si La
2 1 1
Cartesian
0.0000 0.0000 0.0000
-1.2719 -2.1670 1.2987
-1.9727 0.9830 1.7726
-3.1979 -0.6886 -0.1521
```

Properties
E_tot = -16.5 eV per cell

=====

No. 16
# La2BeSi

A relaxed structure of La2BeSi (PBE, the Alexandria database).

```
La2BeSi
1.0
5.0520 0.0108 -0.0075
-0.0063 5.0520 -0.0075
0.0061 0.0062 3.8167
Be Si La
1 1 2
Cartesian
-0.0001 2.5291 1.9046
2.5291 0.0085 1.9046
0.0000 0.0000 0.0000
2.5228 2.5314 -0.0075
```

Properties
relative energy among the computed polymorphs = 210.2 meV/atom

=====

No. 17
# LaBe2Si

A relaxed structure of LaBe2Si (PBE, the Alexandria database).

```
LaBe2Si
1.0
-1.1980 4.1751 -3.4771
-2.6600 -4.7916 -0.9599
-2.6488 0.6280 0.6985
Be Si La
2 1 1
Cartesian
0.0000 0.0000 0.0000
-1.9290 -0.3083 -2.2185
-2.6544 -2.0818 -0.1307
-1.9234 2.4015 -1.3893
```

Properties
E_tot = -15.3 eV per cell

=====

No. 18
# La2BeSi

A relaxed structure of La2BeSi (PBE, the Alexandria database).

```
La2BeSi
1.0
8.0781 0.0000 0.0000
0.0000 8.0781 0.0000
4.0390 4.0390 3.1331
Be Si La
2 2 4
Cartesian
4.0390 4.0390 0.0000
4.0390 8.0781 1.5665
0.0000 0.0000 0.0000
8.0781 4.0390 1.5665
5.9678 2.0195 0.7833
2.1102 6.0585 0.7833
6.0585 6.1493 2.3498
10.0976 10.0068 2.3498
```

Properties
relative energy among the computed polymorphs = 597.7 meV/atom

=====

No. 19
# LaBe2Si

A relaxed structure of LaBe2Si (PBE, the Alexandria database).

```
LaBe2Si
1.0
-0.6878 -1.2765 3.9563
-3.9260 -1.1192 -1.0437
1.3349 -3.7660 -0.9830
Be Si La
2 1 1
Cartesian
0.0000 0.0000 0.0000
-2.3069 -1.1978 1.4563
-1.2955 -2.4426 -1.0133
0.3236 -2.5212 1.4867
```

Properties
E_tot = -16.5 eV per cell

=====

No. 20
# La2BeSi

A relaxed structure of La2BeSi (PBE, the Alexandria database).

```
La2BeSi
1.0
5.0407 0.0000 0.0000
2.5204 4.3654 0.0000
2.5204 1.4551 4.1157
Be Si La
1 1 2
Cartesian
5.0407 2.9103 2.0579
2.5204 1.4551 1.0289
0.0000 0.0000 0.0000
7.5611 4.3654 3.0868
```

Properties
relative energy among the computed polymorphs = 759.3 meV/atom

=====

No. 21
# LaBe2Si

A relaxed structure of LaBe2Si (PBE, the Alexandria database).

```
LaBe2Si
1.0
3.1398 0.0000 0.0000
0.0000 3.1398 0.0000
0.0000 0.0000 6.6886
Be Si La
2 1 1
Cartesian
0.0000 0.0000 0.0748
1.5699 1.5699 1.0851
1.5699 1.5699 5.5545
0.0000 0.0000 3.3185
```

Properties
E_tot = -17.1 eV per cell

=====

No. 22
# LaBeSi2

A relaxed structure of LaBeSi2 (PBE, the Alexandria database).

```
LaBeSi2
1.0
3.8517 0.0000 0.0000
0.0000 3.2934 -0.0033
0.0000 0.0042 6.1635
Be Si La
1 2 1
Cartesian
1.9259 0.8244 1.5401
0.0000 0.8263 0.3386
0.0000 0.8225 2.7415
1.9259 2.4732 4.6202
```

Properties
E_tot = -20.0 eV per cell

=====

No. 23
# LaBe3Si3

A relaxed structure of LaBe3Si3 (PBE, the Alexandria database).

```
LaBe3Si3
1.0
-3.9307 2.2865 4.1921
2.6387 -3.4853 4.3751
3.9798 4.5691 1.2395
Be Si La
6 6 2
Cartesian
1.0072 2.8561 1.6678
2.3143 -0.6004 2.4974
0.0137 -1.4707 5.3774
-0.9581 3.9994 3.7638
4.3042 1.6841 3.1172
-1.3057 0.2719 3.1898
2.6496 1.4132 1.7135
3.9689 -0.3294 3.9011
1.0195 4.5700 3.0257
-1.6287 -0.0278 5.3316
-0.9704 2.2855 2.4059
0.3367 -1.1710 3.2356
1.3439 1.6851 4.9034
0.0000 0.0000 0.0000
```

Properties
E_tot = -64.3 eV per cell

=====

No. 24
# LaBe2Si

A relaxed structure of LaBe2Si (PBE, the Alexandria database).

```
LaBe2Si
1.0
-0.7575 -3.8894 -2.0479
2.3994 -2.1070 3.1143
-5.4003 -3.9656 4.6718
Be Si La
4 2 2
Cartesian
-1.3344 -2.7144 0.7887
-0.1343 -3.7657 2.3470
-2.8353 -5.7491 4.6815
-3.2127 -7.6950 3.6593
0.8209 -2.9982 0.5332
-1.0900 -4.5354 4.1597
0.0000 0.0000 0.0000
-2.6684 -5.4267 1.5786
```

Properties
E_tot = -36.7 eV per cell

=====

No. 25
# LaBeSi2

A relaxed structure of LaBeSi2 (PBE, the Alexandria database).

```
LaBeSi2
1.0
5.5120 0.0060 -0.0015
2.5245 4.8999 0.0015
-4.0064 -2.4723 2.8667
Be Si La
1 2 1
Cartesian
2.7619 -0.0066 1.4326
8.0278 4.9006 0.0000
4.0269 2.4582 0.0000
1.2681 2.4403 1.4341
```

Properties
E_tot = -18.7 eV per cell

=====

No. 26
# La2BeSi3

A relaxed structure of La2BeSi3 (PBE, the Alexandria database).

```
La2BeSi3
1.0
0.2902 0.0432 -5.9848
-0.4191 -5.9337 -0.7206
-6.8481 3.4738 3.0214
La Be Si
4 2 6
Cartesian
-3.6659 -2.7026 -0.5260
-0.0973 -4.4438 -5.0586
-3.3112 0.2859 -3.1581
-0.0317 -1.4466 -1.6468
-2.3661 -2.7693 -3.4630
-4.6110 0.3525 -0.2210
-1.4224 -4.2859 -2.1489
-5.8945 -0.9938 0.9864
-5.5547 1.8692 -1.5351
-1.0827 -1.4229 -4.6704
-2.3832 0.1822 -0.1142
-4.5939 -2.5989 -3.5698
```

Properties
relative energy among the computed polymorphs = 0.0 meV/atom

=====

No. 27
# La2Be2Si3

A relaxed structure of La2Be2Si3 (PBE, the Alexandria database).

```
La2Be2Si3
1.0
-1.8078 3.3476 1.5866
-5.5103 -1.0941 -3.9702
-2.9588 -6.9958 6.0345
La Be Si
4 4 6
Cartesian
-2.7199 -2.1230 1.3802
-7.5570 -2.6193 2.2707
-5.7922 -3.4368 6.0064
-4.4846 -1.3055 -2.3555
-7.1133 -1.0177 -0.6030
-3.1636 -3.7246 4.2539
-4.8431 -4.0581 3.0438
-5.4337 -0.6842 0.6071
-5.7029 -2.9840 -0.2021
-4.5740 -1.7583 3.8530
-3.7079 0.5586 -0.0487
-6.5690 -5.3009 3.6996
-8.4747 -5.6793 2.3265
-1.8022 0.9370 1.3244
```

Properties
E_tot = -73.6 eV per cell

=====

No. 28
# LaBeSi2

A relaxed structure of LaBeSi2 (PBE, the Alexandria database).

```
LaBeSi2
1.0
-1.8237 -2.4854 -2.9020
-0.4615 -0.9110 7.2647
-3.5940 0.0210 2.2337
Be Si La
1 2 1
Cartesian
-1.1426 -1.6982 2.1814
0.0000 0.0000 0.0000
-2.0278 -0.4450 4.7492
-2.7089 -1.2322 -0.3341
```

Properties
E_tot = -19.4 eV per cell

=====

| no. | N(E_F) (states/eV per cell) |
| --- | --- |
| 1 | 2.06 |
| 2 | 3.28 |
| 3 | 4.18 |
| 4 | 1.91 |
| 5 | 2.34 |
| 6 | 2.45 |
| 7 | 4.80 |
| 8 | 3.83 |
| 9 | 2.29 |
| 10 | 3.99 |
| 11 | 2.64 |
| 12 | 2.80 |
| 13 | 3.71 |
| 14 | 2.34 |
| 15 | 2.36 |
| 16 | 2.29 |
| 17 | 2.21 |
| 18 | 7.32 |
| 19 | 1.90 |
| 20 | 5.11 |
| 21 | 1.87 |
| 22 | 2.50 |
| 23 | 5.44 |
| 24 | 3.97 |
| 25 | 1.72 |
| 26 | 2.51 |
| 27 | 2.11 |
| 28 | 1.87 |